# 1
Computed, not measured: an optimized crystal structure of NaAl3Co at the GGA-PBE level of DFT.

Calculated values
Its space group is No. 221. The value obtained for the uncorrected energy is -20.286 eV/f.u. As for the calculated volume: 18.919 A^3/atom. Its size of the total moment is 0.000 μB/f.u. The formation energy comes out at -0.1268 eV/atom.

```
NaAl3Co
1.0
4.556 0.000 0.000
0.000 4.556 0.000
0.000 0.000 4.556
Na Al Co
1 3 1
direct
0.000 0.000 0.000
0.000 0.500 0.500
0.500 0.000 0.500
0.500 0.500 0.000
0.500 0.500 0.500
```


# 2
Computed, not measured: an optimized crystal structure of KCoIr at the GGA-PBE level of DFT.

Calculated values
Its space group is No. 107. The value obtained for the uncorrected energy is -15.258 eV/f.u. As for the calculated volume: 20.977 A^3/atom. Its size of the total moment is 1.922 μB/f.u. The formation energy comes out at 0.6020 eV/atom.

```
KCoIr
1.0
-1.603 1.603 6.123
1.603 -1.603 6.123
1.603 1.603 -6.123
K Co Ir
1 1 1
direct
0.000 0.000 0.000
0.282 0.282 0.000
0.717 0.717 0.000
```